1.
# Hf5CoAu2

A relaxed structure of Hf5CoAu2 (GGA-PBE, Alexandria).

a = 4.231 Å, b = 7.154 Å, c = 10.548 Å
α = 90.00°, β = 90.00°, γ = 90.00°
Sites, in units of the cell vectors:
Hf1 0.000 0.000 0.500
Hf2 0.000 0.500 0.000
Hf3 0.000 0.853 0.209
Hf4 0.000 0.147 0.791
Hf5 0.000 0.647 0.709
Hf6 0.000 0.353 0.291
Hf7 0.500 0.676 0.423
Hf8 0.500 0.324 0.577
Hf9 0.500 0.824 0.923
Hf10 0.500 0.176 0.077
Co1 0.000 0.500 0.500
Co2 0.000 0.000 0.000
Au1 0.500 0.571 0.165
Au2 0.500 0.429 0.835
Au3 0.500 0.929 0.665
Au4 0.500 0.071 0.335

Summary:
ΔH_f (0 K), eV per atom: -0.32
Uncorrected energy, eV for the cell shown: -132.0
Total moment, Bohr magnetons per cell: 0.00

---

2.
# HfCo2Au

A relaxed structure of HfCo2Au (GGA-PBE, Alexandria).

a = 3.887 Å, b = 3.887 Å, c = 9.299 Å
α = 77.94°, β = 77.94°, γ = 90.00°
Sites, in units of the cell vectors:
Hf1 0.500 0.500 0.000
Hf2 0.250 0.750 0.500
Au1 0.000 0.000 0.000
Au2 0.750 0.250 0.500
Co1 0.690 0.125 0.250
Co2 0.060 0.625 0.250
Co3 0.375 0.310 0.750
Co4 0.875 0.940 0.750

Summary:
ΔH_f (0 K), eV per atom: 0.27
Offset from the most stable computed form, eV/f.u.: 2.257
Uncorrected energy, eV for the cell shown: -52.7
Total moment, Bohr magnetons per cell: 3.56

---

3.
# Hf5Co2Au

A relaxed structure of Hf5Co2Au (GGA-PBE, Alexandria).

a = 7.189 Å, b = 7.189 Å, c = 7.673 Å
α = 117.93°, β = 117.93°, γ = 90.00°
Sites, in units of the cell vectors:
Hf1 0.515 0.706 0.722
Hf2 0.794 0.985 0.278
Hf3 0.000 0.000 0.000
Hf4 0.500 0.500 0.000
Hf5 0.206 0.015 0.722
Hf6 0.706 0.206 0.722
Hf7 0.015 0.515 0.722
Hf8 0.294 0.794 0.278
Hf9 0.985 0.485 0.278
Hf10 0.485 0.294 0.278
Co1 0.131 0.369 0.000
Co2 0.631 0.131 0.000
Co3 0.369 0.869 0.000
Co4 0.869 0.631 0.000
Au1 0.750 0.750 0.500
Au2 0.250 0.250 0.500

Summary:
ΔH_f (0 K), eV per atom: -0.35
Uncorrected energy, eV for the cell shown: -140.1
Total moment, Bohr magnetons per cell: 0.00